(1)
YTeOs2 | GGA-PBEsol | optimized geometry

a b c (Å): 4.701 4.701 4.701
angles (deg): 60.00 60.00 60.00
Positions (direct):
1 Y 0.000 0.000 0.000
2 Te 0.250 0.250 0.250
3 Os 0.500 0.500 0.500
4 Os 0.750 0.750 0.750

Values from the calculation:
formation energy (no corrections): 0.631 eV/atom
spin magnetization: 0.0 μB per formula unit

***

(2)
SrTlCl | GGA-PBEsol | optimized geometry

a b c (Å): 5.286 5.286 5.286
angles (deg): 60.00 60.00 60.00
Positions (direct):
1 Sr 0.000 0.000 0.000
2 Tl 0.750 0.750 0.750
3 Cl 0.250 0.250 0.250

Values from the calculation:
formation energy (no corrections): -0.579 eV/atom
spin magnetization: 0.0 μB per formula unit

***

(3)
FePbIO2 | GGA-PBEsol | optimized geometry

a b c (Å): 4.112 4.112 6.521
angles (deg): 90.00 90.00 90.00
Positions (direct):
1 Fe 0.000 0.000 0.000
2 Pb 0.500 0.500 0.500
3 I 0.500 0.500 0.000
4 O 0.000 0.500 0.500
5 O 0.500 0.000 0.500

Values from the calculation:
formation energy (no corrections): 0.345 eV/atom
spin magnetization: 3.5 μB per formula unit